[1]
Computed, not measured: LiTa2Ru at its PBEsol-relaxed geometry at the SCAN level of DFT.

Summary:
- VASP energy (eV per cell) = -339.30

Cell: 3.1332 4.5611 9.2734 Å, 90.00 90.00 90.00°
Closest atoms and distances in Å follow each position.
Space group Cmmm (No. 65)
One atom of each set of equivalent atoms:
Li 0.0000 0.0000 0.0000 x2  4 Li 2.77, 4 Ta 2.97
Ta 0.0000 0.5000 0.2719 x4  2 Ru 2.63, 4 Ta 2.77
Ru 0.0000 0.0000 0.5000 x2  4 Ta 2.63, 4 Ru 2.77

---

[2]
Computed, not measured: Fe at its PBEsol-relaxed geometry at the SCAN level of DFT.

Summary:
- offset from the most stable computed form (meV per atom) = 89

Cell: 4.4337 4.4337 4.4337 Å, 90.00 90.00 90.00°
Closest atoms and distances in Å follow each position.
Space group Pm-3n (No. 223)
One atom of each set of equivalent atoms:
Fe 0.0000 0.0000 0.0000 x2  12 Fe 2.48
Fe 0.0000 0.2500 0.5000 x6  6 Fe 2.22-2.48

---

[3]
Computed, not measured: NaPrTiNbO6F at its PBEsol-relaxed geometry at the SCAN level of DFT.

Summary:
- offset from the most stable computed form (meV per atom) = 0
- energy relative to the elements, uncorrected (eV/atom) = -3.2190

Cell: 7.3119 7.3119 10.3943 Å, 90.00 90.00 90.00°
Closest atoms and distances in Å follow each position.
Space group P4_122 (No. 91)
One atom of each set of equivalent atoms:
Na 0.0000 0.2183 0.0000 x4  2 F 2.18
Pr 0.2297 0.5000 0.7500 x4  2 F 2.31, 4 O 2.47-2.50
Ti 0.2641 0.5000 0.2500 x4  6 O 1.96-1.97
Nb 0.0000 0.2579 0.5000 x4  6 O 1.99-2.00
O 0.0587 0.4468 0.3675 x8  1 Ti 1.97, 1 Nb 2.00
O 0.0610 0.0610 0.3750 x4  2 Nb 1.99
O 0.2520 0.2723 0.5716 x8  1 Ti 1.96, 1 Nb 1.99
O 0.4604 0.4604 0.3750 x4  2 Ti 1.96
F 0.2385 0.2385 0.8750 x4  2 Na 2.18, 2 Pr 2.31

---

[4]
Computed, not measured: IrPt3 at its PBEsol-relaxed geometry at the SCAN level of DFT.

Summary:
- VASP energy (eV per cell) = -281.19

Cell: 3.8929 3.8929 3.8929 Å, 90.00 90.00 90.00°
Closest atoms and distances in Å follow each position.
Space group Pm-3m (No. 221)
One atom of each set of equivalent atoms:
Ir 0.0000 0.0000 0.0000 x1  12 Pt 2.75
Pt 0.0000 0.5000 0.5000 x3  4 Ir 2.75, 8 Pt 2.75

---

[5]
Computed, not measured: CaBrO2 at its PBEsol-relaxed geometry at the SCAN level of DFT.

Summary:
- offset from the most stable computed form (meV per atom) = 648
- energy relative to the elements, uncorrected (eV/atom) = -0.9072

Cell: 4.4687 4.4687 13.2792 Å, 90.00 90.00 90.00°
Closest atoms and distances in Å follow each position.
Space group I-42d (No. 122)
One atom of each set of equivalent atoms:
Ca 0.0000 0.0000 0.0000 x4  4 O 2.33
Br 0.0000 0.0000 0.5000 x4  4 O 2.25
O 0.2313 0.2500 0.6250 x8  2 Br 2.25, 2 Ca 2.33

---

[6]
Computed, not measured: MgTe3 at its PBEsol-relaxed geometry at the SCAN level of DFT.

Summary:
- energy relative to the elements, uncorrected (eV/atom) = 0.1448

Cell: 4.7352 4.7352 4.7352 Å, 90.00 90.00 90.00°
Closest atoms and distances in Å follow each position.
Space group Pm-3m (No. 221)
One atom of each set of equivalent atoms:
Mg 0.0000 0.0000 0.0000 x1  12 Te 3.35
Te 0.0000 0.5000 0.5000 x3  8 Te 3.35, 4 Mg 3.35

---

[7]
Computed, not measured: Mg4TcOs at its PBEsol-relaxed geometry at the SCAN level of DFT.

Summary:
- VASP energy (eV per cell) = -490.52

Cell: 7.3243 7.3243 7.3243 Å, 90.00 90.00 90.00°
Closest atoms and distances in Å follow each position.
Space group F-43m (No. 216)
One atom of each set of equivalent atoms:
Mg 0.1249 0.1249 0.1249 x16  6 Mg 2.59
Tc 0.0000 0.0000 0.5000 x4  12 Mg 3.04, 4 Os 3.17
Os 0.2500 0.2500 0.7500 x4  12 Mg 3.04, 4 Tc 3.17

---

[8]
Computed, not measured: TlCdPb2 at its PBEsol-relaxed geometry at the SCAN level of DFT.

Summary:
- offset from the most stable computed form (meV per atom) = 3

Cell: 3.4258 3.4258 32.2681 Å, 90.00 90.00 120.00°
Closest atoms and distances in Å follow each position.
Space group R-3m (No. 166, hexagonal axes)
One atom of each set of equivalent atoms:
Tl 0.0000 0.0000 0.0000 x3  6 Tl 3.43, 6 Pb 3.47
Cd 0.0000 0.0000 0.5000 x3  6 Pb 3.21, 6 Cd 3.43
Pb 0.0000 0.0000 0.2449 x6  3 Cd 3.21, 6 Pb 3.43, 3 Tl 3.47